# 1
The following is a DFT calculation (PBE) of BaErTlCl6 after structural relaxation.

```
BaErTlCl6
1.0
7.6364 0.0000 0.0000
-3.8182 6.6133 0.0000
0.0000 0.0000 12.9573
Ba Er Tl Cl
2 2 2 12
Direct
0.3333 0.6667 0.2500
0.6667 0.3333 0.7500
0.3333 0.6667 0.7500
0.6667 0.3333 0.2500
0.0000 0.0000 0.0000
0.0000 0.0000 0.5000
0.0451 0.3872 0.6344
0.0451 0.6580 0.8656
0.3420 0.3872 0.8656
0.3420 0.9549 0.6344
0.3872 0.0451 0.1344
0.3872 0.3420 0.3656
0.6128 0.6580 0.6344
0.6128 0.9549 0.8656
0.6580 0.0451 0.3656
0.6580 0.6128 0.1344
0.9549 0.3420 0.1344
0.9549 0.6128 0.3656
```

## Properties
ΔE_f (raw) (eV/atom): -2.091
Mass density (g cm⁻³): 3.7
Fermi-level density of states (states/eV per atom): 0.000
Raw total energy (eV per atom): -4.31
Total moment (μB/atom): 0.0000

---

# 2
The following is a DFT calculation (PBE) of ZrGaSb2Te after structural relaxation.

```
ZrGaSb2Te
1.0
5.5819 0.0000 0.0000
0.0000 5.5819 0.0000
0.0000 0.0000 5.6230
Zr Ga Sb Te
1 1 2 1
Direct
0.0000 0.0000 0.0000
0.5000 0.5000 0.5000
0.0000 0.5000 0.0000
0.5000 0.0000 0.0000
0.0000 0.0000 0.5000
```

## Properties
ΔE_f (raw) (eV/atom): 0.119
Relative energy among the computed polymorphs (eV/f.u.): 0.00
Mass density (g cm⁻³): 5.0
Fermi-level density of states (states/eV per atom): 0.724
Raw total energy (eV per atom): -4.47
Total moment (μB/atom): 0.0000